Entry from Alexandria: a geometry-optimized CsTmCd2Br8 structure (PBE-GGA).

abc: 7.0095 7.0264 10.5576
angles: 85.09 84.41 68.58
Fractional coordinates of all 12 atoms:
1 Cs 0.0000 0.0000 0.5000
2 Tm 0.0000 0.0000 0.0000
3 Cd 0.3727 0.3689 0.7940
4 Cd 0.6273 0.6311 0.2060
5 Br 0.2141 0.7325 0.1910
6 Br 0.7617 0.7630 0.9866
7 Br 0.7323 0.2184 0.1939
8 Br 0.7859 0.2675 0.8090
9 Br 0.2383 0.2370 0.0134
10 Br 0.2677 0.7816 0.8061
11 Br 0.6759 0.6996 0.4308
12 Br 0.3241 0.3004 0.5692

Values from the calculation:
Final energy ... -36.5 eV/cell
Crystal system ... triclinic
Magnetic moment ... 0.0 μB per formula unit
Uncorrected formation energy ... -1.331 eV per atom

Entry from Alexandria: a geometry-optimized HgOsRh structure (PBE-GGA).

abc: 4.3097 4.3097 4.3097
angles: 60.00 60.00 60.00
Fractional coordinates of all 3 atoms:
1 Hg 0.0000 0.0000 0.0000
2 Os 0.5000 0.5000 0.5000
3 Rh 0.7500 0.7500 0.7500

Values from the calculation:
Final energy ... -16.1 eV/cell
Excess energy over the best structure of this formula in the dataset ... 620 meV per atom
Crystal system ... cubic
Magnetic moment ... 0.0 μB per formula unit
ΔE_f ... 0.924 eV/atom

Entry from Alexandria: a geometry-optimized CuSb2F8 structure (PBE-GGA).

abc: 4.9388 7.5661 6.1370
angles: 128.05 78.17 90.00
Each line ends with the local moment (μB).
Fractional coordinates of all 11 atoms:
1 Sb 0.5591 0.7007 0.4015  0.02
2 Sb 0.4409 0.2993 0.5985  0.02
3 Cu 0.0000 0.0000 0.0000  0.68
4 F 0.7007 0.9856 0.3122  0.02
5 F 0.2993 0.6734 0.6878  0.02
6 F 0.7670 0.8773 0.7545  0.06
7 F 0.2330 0.1227 0.2455  0.06
8 F 0.7007 0.3266 0.3122  0.02
9 F 0.2993 0.0144 0.6878  0.02
10 F 0.2440 0.6023 0.2045  0.02
11 F 0.7560 0.3977 0.7955  0.02

Values from the calculation:
Final energy ... -50.2 eV/cell
Crystal system ... monoclinic
Magnetic moment ... 1.0 μB per formula unit
Uncorrected formation energy ... -2.083 eV per atom

Entry from Alexandria: a geometry-optimized SrLaSi2 structure (PBE-GGA).

abc: 8.2534 8.2534 6.7430
angles: 52.27 52.27 90.00
Fractional coordinates of all 8 atoms:
1 Sr 0.5000 0.5000 0.0000
2 Sr 0.2500 0.7500 0.5000
3 Si 0.6315 0.1250 0.2500
4 Si 0.1185 0.6250 0.2500
5 Si 0.3750 0.3685 0.7500
6 Si 0.8750 0.8815 0.7500
7 La 0.0000 0.0000 0.0000
8 La 0.7500 0.2500 0.5000

Values from the calculation:
Final energy ... -34.8 eV/cell
Excess energy over the best structure of this formula in the dataset ... 592 meV per atom
Crystal system ... tetragonal
Magnetic moment ... 0.0 μB per formula unit
Uncorrected formation energy ... 0.012 eV per atom